(1)
A geometry-optimized MnCdRh3 structure. Source: Alexandria via LeMat-Bulk, functional PBE-GGA.

It has space group Pm-3m (No. 221), with a = 4.4672 Å, b = 4.4672 Å, c = 4.4672 Å, α = 90.00°, β = 90.00° and γ = 90.00°. The asymmetric unit holds Mn at (0.0000, 0.0000, 0.0000), Cd at (0.5000, 0.5000, 0.5000) and Rh at (0.0000, 0.0000, 0.5000).

The distance to the lowest polymorph of the same formula is 0.00 kcal/mol of atoms. The value obtained for the total magnetic moment is 0.000 Bohr magnetons per cell.

***

(2)
A geometry-optimized Nd2PuI structure. Source: Alexandria via LeMat-Bulk, functional PBE-GGA.

It has space group P4/mmm (No. 123), with a = 3.6743 Å, b = 3.6743 Å, c = 9.5231 Å, α = 90.00°, β = 90.00° and γ = 90.00°. The asymmetric unit holds Nd at (0.0000, 0.0000, 0.2476), Pu at (0.5000, 0.5000, 0.5000) and I at (0.5000, 0.5000, 0.0000).

The distance to the lowest polymorph of the same formula is 0.00 kcal/mol of atoms. The formation energy without anion corrections is -232 meV/atom. The value obtained for the total magnetic moment is 6.271 Bohr magnetons per cell.

***

(3)
A geometry-optimized Nd2Sm7Dy structure. Source: Alexandria via LeMat-Bulk, functional PBE-GGA.

It has space group Cmmm (No. 65), with a = 6.6861 Å, b = 29.3161 Å, c = 3.4955 Å, α = 90.00°, β = 90.00° and γ = 90.00°. The asymmetric unit holds Nd at (0.0000, 0.2048, 0.0000), Sm at (0.0000, 0.0000, 0.0000), Sm at (0.0000, 0.3124, 0.5000), Sm at (0.2448, 0.4019, 0.0000) and Dy at (0.0000, 0.5000, 0.5000).

The calculation puts the total energy at -45.6 eV per formula unit. The value obtained for the total magnetic moment is 0.000 Bohr magnetons per cell.

***

(4)
A geometry-optimized Na2CdHgF6 structure. Source: Alexandria via LeMat-Bulk, functional PBE-GGA.

It has space group P2_1/c (No. 14), with a = 5.8851 Å, b = 6.0686 Å, c = 10.2721 Å, α = 90.00°, β = 123.95° and γ = 90.00°. The asymmetric unit holds Na at (0.2296, 0.0487, 0.2311), Cd at (0.5000, 0.0000, 0.0000), Hg at (0.0000, 0.0000, 0.5000), F at (0.1211, 0.1711, 0.9503), F at (0.2293, 0.6929, 0.9080) and F at (0.3955, 0.0925, 0.7593).

The formation energy without anion corrections is -2178 meV/atom. The value obtained for the total magnetic moment is 0.000 Bohr magnetons per cell.